BaSrSm after structural relaxation. Source: the Alexandria database, functional PBE.

## Properties
Its excess energy over the best structure of this formula in the dataset is 88 meV per atom. Its formation energy is 0.179 eV per atom. As for the density of states at the Fermi level: 4.9 states/eV/f.u. Its symmetry is P3m1.

a = 4.032 Å, b = 4.032 Å, c = 9.983 Å
α = 90.00°, β = 90.00°, γ = 120.00°
Positions (direct):
Ba 0.000 0.000 0.000
Sr 0.667 0.333 0.367
Sm 0.333 0.667 0.680


BaSr2Sm after structural relaxation. Source: the Alexandria database, functional PBE.

## Properties
Its excess energy over the best structure of this formula in the dataset is 0 meV per atom. Its formation energy is 0.137 eV per atom. As for the density of states at the Fermi level: 4.5 states/eV/f.u. Its symmetry is P4/mmm.

a = 4.378 Å, b = 4.378 Å, c = 10.362 Å
α = 90.00°, β = 90.00°, γ = 90.00°
Positions (direct):
Ba 0.000 0.000 0.000
Sr 0.500 0.500 0.286
Sr 0.500 0.500 0.714
Sm 0.000 0.000 0.500


BaSrSm after structural relaxation. Source: the Alexandria database, functional PBE.

## Properties
Its excess energy over the best structure of this formula in the dataset is 0 meV per atom. Its formation energy is 0.092 eV per atom. As for the density of states at the Fermi level: 4.3 states/eV/f.u. Its symmetry is P4/nmm.

a = 4.062 Å, b = 4.062 Å, c = 17.664 Å
α = 90.00°, β = 90.00°, γ = 90.00°
Positions (direct):
Ba 0.250 0.250 0.098
Ba 0.750 0.750 0.902
Sr 0.250 0.250 0.712
Sr 0.750 0.750 0.288
Sm 0.250 0.250 0.441
Sm 0.750 0.750 0.559


BaTb2Sm after structural relaxation. Source: the Alexandria database, functional PBE.

## Properties
Its excess energy over the best structure of this formula in the dataset is 0 meV per atom. Its formation energy is 0.147 eV per atom. As for the density of states at the Fermi level: 6.1 states/eV/f.u. Its symmetry is P4/mmm.

a = 3.724 Å, b = 3.724 Å, c = 10.845 Å
α = 90.00°, β = 90.00°, γ = 90.00°
Positions (direct):
Ba 0.000 0.000 0.000
Tb 0.500 0.500 0.281
Tb 0.500 0.500 0.719
Sm 0.000 0.000 0.500


BaTbSm2 after structural relaxation. Source: the Alexandria database, functional PBE.

## Properties
Its excess energy over the best structure of this formula in the dataset is 0 meV per atom. Its formation energy is 0.126 eV per atom. As for the density of states at the Fermi level: 5.4 states/eV/f.u. Its symmetry is P4/mmm.

a = 3.744 Å, b = 3.744 Å, c = 10.862 Å
α = 90.00°, β = 90.00°, γ = 90.00°
Positions (direct):
Ba 0.000 0.000 0.000
Tb 0.000 0.000 0.500
Sm 0.500 0.500 0.283
Sm 0.500 0.500 0.717


BaTbSm after structural relaxation. Source: the Alexandria database, functional PBE.

## Properties
Its excess energy over the best structure of this formula in the dataset is 10 meV per atom. Its formation energy is 0.176 eV per atom. As for the density of states at the Fermi level: 5.3 states/eV/f.u. Its symmetry is P3m1.

a = 3.792 Å, b = 3.792 Å, c = 9.441 Å
α = 90.00°, β = 90.00°, γ = 120.00°
Positions (direct):
Ba 0.000 0.000 0.000
Tb 0.667 0.333 0.352
Sm 0.333 0.667 0.642


BaTbSm2 after structural relaxation. Source: the Alexandria database, functional PBE.

## Properties
Its excess energy over the best structure of this formula in the dataset is 77 meV per atom. Its formation energy is 0.203 eV per atom. As for the density of states at the Fermi level: 5.3 states/eV/f.u. Its symmetry is R-3m.

a = 13.202 Å, b = 13.202 Å, c = 13.202 Å
α = 15.92°, β = 15.92°, γ = 15.92°
Positions (direct):
Ba 0.000 0.000 0.000
Tb 0.500 0.500 0.500
Sm 0.094 0.094 0.094
Sm 0.906 0.906 0.906


BaTbSm after structural relaxation. Source: the Alexandria database, functional PBE.

## Properties
Its excess energy over the best structure of this formula in the dataset is 0 meV per atom. Its formation energy is 0.166 eV per atom. As for the density of states at the Fermi level: 5.2 states/eV/f.u. Its symmetry is I4mm.

a = 8.729 Å, b = 8.729 Å, c = 8.729 Å
α = 154.88°, β = 154.88°, γ = 35.83°
Positions (direct):
Ba 0.000 0.000 0.000
Tb 0.319 0.319 0.000
Sm 0.682 0.682 0.000


BaTb2Sm after structural relaxation. Source: the Alexandria database, functional PBE.

## Properties
Its excess energy over the best structure of this formula in the dataset is 75 meV per atom. Its formation energy is 0.222 eV per atom. As for the density of states at the Fermi level: 6.1 states/eV/f.u. Its symmetry is R-3m.

a = 13.123 Å, b = 13.123 Å, c = 13.123 Å
α = 15.93°, β = 15.93°, γ = 15.93°
Positions (direct):
Ba 0.000 0.000 0.000
Tb 0.093 0.093 0.093
Tb 0.907 0.907 0.907
Sm 0.500 0.500 0.500


Ba3Tb3SmTe8 after structural relaxation. Source: the Alexandria database, functional PBE.

## Properties
As for the density of states at the Fermi level: 4.2 states/eV/f.u. Its symmetry is R-3m.

a = 9.538 Å, b = 9.538 Å, c = 9.538 Å
α = 56.56°, β = 56.56°, γ = 56.56°
Positions (direct):
Ba 0.000 0.500 0.500
Ba 0.500 0.000 0.500
Ba 0.500 0.500 0.000
Tb 0.000 0.000 0.500
Tb 0.000 0.500 0.000
Tb 0.500 0.000 0.000
Sm 0.500 0.500 0.500
Te 0.232 0.744 0.744
Te 0.239 0.239 0.239
Te 0.256 0.256 0.768
Te 0.256 0.768 0.256
Te 0.744 0.232 0.744
Te 0.744 0.744 0.232
Te 0.761 0.761 0.761
Te 0.768 0.256 0.256


Ba3TbSm3Te8 after structural relaxation. Source: the Alexandria database, functional PBE.

## Properties
As for the density of states at the Fermi level: 4.2 states/eV/f.u. Its symmetry is C2/m.

a = 9.106 Å, b = 9.106 Å, c = 9.591 Å
α = 118.31°, β = 118.31°, γ = 60.02°
Positions (direct):
Ba 0.000 0.000 0.000
Ba 0.000 0.500 0.000
Ba 0.500 0.000 0.000
Tb 0.000 0.000 0.500
Sm 0.000 0.500 0.500
Sm 0.500 0.000 0.500
Sm 0.500 0.500 0.500
Te 0.239 0.239 0.718
Te 0.239 0.740 0.719
Te 0.259 0.259 0.278
Te 0.260 0.761 0.281
Te 0.740 0.239 0.719
Te 0.741 0.741 0.722
Te 0.761 0.260 0.281
Te 0.761 0.761 0.282


BaSm3Tc after structural relaxation. Source: the Alexandria database, functional PBE.

## Properties
Its formation energy is 0.121 eV per atom. As for the density of states at the Fermi level: 4.7 states/eV/f.u. Its symmetry is Pm-3m.

a = 5.623 Å, b = 5.623 Å, c = 5.623 Å
α = 90.00°, β = 90.00°, γ = 90.00°
Positions (direct):
Ba 0.000 0.000 0.000
Sm 0.000 0.500 0.500
Sm 0.500 0.000 0.500
Sm 0.500 0.500 0.000
Tc 0.500 0.500 0.500


Ba3SmTe4 after structural relaxation. Source: the Alexandria database, functional PBE.

## Properties
Its excess energy over the best structure of this formula in the dataset is 4 meV per atom. As for the density of states at the Fermi level: 2.8 states/eV/f.u. Its symmetry is Cmmm.

a = 8.407 Å, b = 8.407 Å, c = 4.811 Å
α = 90.00°, β = 90.00°, γ = 109.07°
Positions (direct):
Ba 0.000 0.000 0.000
Ba 0.000 0.500 0.500
Ba 0.500 0.000 0.500
Sm 0.500 0.500 0.000
Te 0.264 0.736 0.000
Te 0.273 0.273 0.500
Te 0.727 0.727 0.500
Te 0.736 0.264 0.000


BaSmTe3 after structural relaxation. Source: the Alexandria database, functional PBE.

## Properties
As for the density of states at the Fermi level: 0.6 states/eV/f.u. Its symmetry is Pbcm.

a = 14.682 Å, b = 6.903 Å, c = 7.465 Å
α = 90.00°, β = 90.00°, γ = 90.00°
Positions (direct):
Ba 0.172 0.025 0.250
Ba 0.172 0.475 0.750
Ba 0.828 0.525 0.250
Ba 0.828 0.975 0.750
Sm 0.411 0.750 0.000
Sm 0.411 0.750 0.500
Sm 0.589 0.250 0.000
Sm 0.589 0.250 0.500
Te 0.003 0.750 0.000
Te 0.003 0.750 0.500
Te 0.266 0.558 0.250
Te 0.266 0.942 0.750
Te 0.425 0.105 0.250
Te 0.425 0.395 0.750
Te 0.575 0.605 0.250
Te 0.575 0.895 0.750
Te 0.734 0.058 0.250
Te 0.734 0.442 0.750
Te 0.997 0.250 0.000
Te 0.997 0.250 0.500


BaSmTe2 after structural relaxation. Source: the Alexandria database, functional PBE.

## Properties
Its excess energy over the best structure of this formula in the dataset is 45 meV per atom. As for the density of states at the Fermi level: 2.7 states/eV/f.u. Its symmetry is R3m.

a = 8.630 Å, b = 8.630 Å, c = 8.630 Å
α = 30.55°, β = 30.55°, γ = 30.55°
Positions (direct):
Ba 0.000 0.000 0.000
Sm 0.172 0.172 0.172
Te 0.577 0.577 0.577
Te 0.764 0.764 0.764


Ba2Sm3Te6 after structural relaxation. Source: the Alexandria database, functional PBE.

## Properties
As for the density of states at the Fermi level: 3.9 states/eV/f.u. Its symmetry is C2/m.

a = 7.868 Å, b = 7.868 Å, c = 8.474 Å
α = 98.92°, β = 98.92°, γ = 120.00°
Positions (direct):
Ba 0.166 0.834 0.000
Ba 0.834 0.166 0.000
Sm 0.000 0.000 0.500
Sm 0.332 0.668 0.500
Sm 0.668 0.332 0.500
Te 0.078 0.407 0.722
Te 0.263 0.263 0.279
Te 0.407 0.078 0.722
Te 0.593 0.922 0.278
Te 0.737 0.737 0.721
Te 0.922 0.593 0.278


BaSm2Te after structural relaxation. Source: the Alexandria database, functional PBE.

## Properties
As for the density of states at the Fermi level: 4.6 states/eV/f.u. Its symmetry is R-3m.

a = 11.464 Å, b = 11.464 Å, c = 11.464 Å
α = 20.64°, β = 20.64°, γ = 20.64°
Positions (direct):
Ba 0.000 0.000 0.000
Sm 0.109 0.109 0.109
Sm 0.891 0.891 0.891
Te 0.500 0.500 0.500


BaSmTe2 after structural relaxation. Source: the Alexandria database, functional PBE.

## Properties
Its excess energy over the best structure of this formula in the dataset is 0 meV per atom. As for the density of states at the Fermi level: 2.0 states/eV/f.u. Its symmetry is R-3m.

a = 8.321 Å, b = 8.321 Å, c = 8.321 Å
α = 32.30°, β = 32.30°, γ = 32.30°
Positions (direct):
Ba 0.000 0.000 0.000
Sm 0.500 0.500 0.500
Te 0.240 0.240 0.240
Te 0.760 0.760 0.760


BaSmTe2 after structural relaxation. Source: the Alexandria database, functional PBE.

## Properties
Its excess energy over the best structure of this formula in the dataset is 180 meV per atom. As for the density of states at the Fermi level: 2.5 states/eV/f.u. Its symmetry is P4/mmm.

a = 3.997 Å, b = 3.997 Å, c = 8.203 Å
α = 90.00°, β = 90.00°, γ = 90.00°
Positions (direct):
Ba 0.000 0.000 0.000
Sm 0.000 0.000 0.500
Te 0.500 0.500 0.276
Te 0.500 0.500 0.724


Ba3SmTe4 after structural relaxation. Source: the Alexandria database, functional PBE.

## Properties
Its excess energy over the best structure of this formula in the dataset is 0 meV per atom. As for the density of states at the Fermi level: 1.9 states/eV/f.u. Its symmetry is P2/c.

a = 8.436 Å, b = 9.702 Å, c = 8.340 Å
α = 90.00°, β = 109.61°, γ = 90.00°
Positions (direct):
Ba 0.000 0.123 0.250
Ba 0.000 0.375 0.750
Ba 0.000 0.625 0.250
Ba 0.000 0.877 0.750
Ba 0.500 0.375 0.250
Ba 0.500 0.625 0.750
Sm 0.500 0.122 0.750
Sm 0.500 0.878 0.250
Te 0.263 0.359 0.515
Te 0.263 0.641 0.015
Te 0.274 0.114 0.999
Te 0.274 0.886 0.499
Te 0.726 0.114 0.501
Te 0.726 0.886 0.001
Te 0.737 0.359 0.985
Te 0.737 0.641 0.485


BaSmTe4 after structural relaxation. Source: the Alexandria database, functional PBE.

## Properties
As for the density of states at the Fermi level: 4.3 states/eV/f.u. Its symmetry is P4/nbm.

a = 7.049 Å, b = 7.049 Å, c = 8.486 Å
α = 90.00°, β = 90.00°, γ = 90.00°
Positions (direct):
Ba 0.250 0.250 0.000
Ba 0.750 0.750 0.000
Sm 0.250 0.250 0.500
Sm 0.750 0.750 0.500
Te 0.100 0.600 0.282
Te 0.100 0.900 0.718
Te 0.400 0.600 0.718
Te 0.400 0.900 0.282
Te 0.600 0.100 0.718
Te 0.600 0.400 0.282
Te 0.900 0.100 0.282
Te 0.900 0.400 0.718


Ba3Sm3TmTe8 after structural relaxation. Source: the Alexandria database, functional PBE.

## Properties
As for the density of states at the Fermi level: 4.1 states/eV/f.u. Its symmetry is C2/m.

a = 9.089 Å, b = 9.089 Å, c = 9.593 Å
α = 118.24°, β = 118.24°, γ = 60.02°
Positions (direct):
Ba 0.000 0.000 0.000
Ba 0.000 0.500 0.000
Ba 0.500 0.000 0.000
Sm 0.000 0.500 0.500
Sm 0.500 0.000 0.500
Sm 0.500 0.500 0.500
Tm 0.000 0.000 0.500
Te 0.236 0.236 0.716
Te 0.237 0.743 0.716
Te 0.257 0.763 0.284
Te 0.259 0.259 0.278
Te 0.741 0.741 0.722
Te 0.743 0.237 0.716
Te 0.763 0.257 0.284
Te 0.764 0.764 0.284


Ba3Sm2YTe6 after structural relaxation. Source: the Alexandria database, functional PBE.

## Properties
As for the density of states at the Fermi level: 5.5 states/eV/f.u. Its symmetry is C2/m.

a = 7.995 Å, b = 7.995 Å, c = 8.294 Å
α = 99.27°, β = 99.27°, γ = 119.91°
Positions (direct):
Ba 0.000 0.000 0.000
Ba 0.332 0.668 0.000
Ba 0.668 0.332 0.000
Sm 0.166 0.834 0.500
Sm 0.834 0.166 0.500
Y 0.500 0.500 0.500
Te 0.098 0.427 0.282
Te 0.245 0.245 0.720
Te 0.427 0.098 0.282
Te 0.573 0.902 0.718
Te 0.755 0.755 0.280
Te 0.902 0.573 0.718


Ba3SmY2Te6 after structural relaxation. Source: the Alexandria database, functional PBE.

## Properties
As for the density of states at the Fermi level: 5.5 states/eV/f.u. Its symmetry is C2/m.

a = 7.964 Å, b = 7.964 Å, c = 8.277 Å
α = 99.25°, β = 99.25°, γ = 119.91°
Positions (direct):
Ba 0.000 0.000 0.000
Ba 0.335 0.665 0.000
Ba 0.665 0.335 0.000
Sm 0.500 0.500 0.500
Y 0.167 0.833 0.500
Y 0.833 0.167 0.500
Te 0.090 0.427 0.282
Te 0.234 0.234 0.716
Te 0.427 0.090 0.282
Te 0.573 0.910 0.718
Te 0.766 0.766 0.284
Te 0.910 0.573 0.718


BaSm2Th after structural relaxation. Source: the Alexandria database, functional PBE.

## Properties
Its excess energy over the best structure of this formula in the dataset is 74 meV per atom. Its formation energy is 0.178 eV per atom. As for the density of states at the Fermi level: 4.7 states/eV/f.u. Its symmetry is R-3m.

a = 13.086 Å, b = 13.086 Å, c = 13.086 Å
α = 16.12°, β = 16.12°, γ = 16.12°
Positions (direct):
Ba 0.000 0.000 0.000
Sm 0.095 0.095 0.095
Sm 0.905 0.905 0.905
Th 0.500 0.500 0.500


| no. | total magnetization (μB/cell) | calculated density (kg/m3) | E (eV per atom) |
| --- | --- | --- | --- |
| 1 | 0.00 | 4434 | -2.595 |
| 2 | 0.00 | 3871 | -2.365 |
| 3 | 0.00 | 4278 | -2.683 |
| 4 | 0.00 | 6684 | -3.828 |
| 5 | 0.00 | 6510 | -3.871 |
| 6 | 0.00 | 6307 | -3.582 |
| 7 | 0.00 | 6568 | -3.795 |
| 8 | 0.00 | 6193 | -3.592 |
| 9 | 0.00 | 6776 | -3.754 |
| 10 | 0.00 | 6057 | -4.847 |
| 11 | 0.00 | 5884 | -4.872 |
| 12 | 0.00 | 6412 | -5.169 |
| 13 | 0.00 | 5543 | -4.528 |
| 14 | 0.00 | 5886 | -4.551 |
| 15 | 0.00 | 6126 | -4.748 |
| 16 | 0.00 | 5734 | -4.911 |
| 17 | 0.00 | 5732 | -4.006 |
| 18 | 0.00 | 6164 | -4.793 |
| 19 | 0.19 | 6880 | -4.614 |
| 20 | 0.00 | 5541 | -4.532 |
| 21 | 0.00 | 6287 | -4.330 |
| 22 | 0.00 | 5929 | -4.851 |
| 23 | 0.00 | 5981 | -4.929 |
| 24 | 0.00 | 5801 | -5.066 |
| 25 | 0.00 | 7391 | -4.517 |